4
Lattice="1.590 0.918 10.108 -1.590 0.918 10.108 0.000 -1.835 10.108" Properties=species:S:1:pos:R:3 comment="Pa2GeAu PBE-GGA optimized geometry" crystal_system=trigonal dos_ef_per_ev_cell=5.483 magnetic_moment_mub_per_fu=0.0 formation_energy_ev_per_atom=-0.204 dft_energy_ev_per_atom=-6.93 de_polymorph_mev_per_atom=102 pbc="T T T"
Pa 0.000 0.000 7.554
Pa 0.000 0.000 22.769
Ge 0.000 0.000 15.161
Au 0.000 0.000 0.000